[1]
Density functional theory data (PBE) for an optimized crystal structure of Cd12Ag6Rh.

a = 7.4060 Å, b = 7.4060 Å, c = 7.4060 Å
α = 86.99°, β = 86.99°, γ = 86.99°
With the nearest neighbours (Å) after each atom.
Fractional positions:
1 Cd 0.0419 0.7192 0.7621  1 Rh 2.79, 4 Ag 2.84-3.10, 3 Cd 2.91-3.09
2 Cd 0.2016 0.4487 0.5235  5 Cd 2.91-3.19, 3 Ag 2.93-3.07
3 Cd 0.2379 0.9581 0.2808  1 Rh 2.79, 4 Ag 2.84-3.10, 3 Cd 2.91-3.09
4 Cd 0.2808 0.2379 0.9581  1 Rh 2.79, 4 Ag 2.84-3.10, 3 Cd 2.91-3.09
5 Cd 0.4487 0.5235 0.2016  5 Cd 2.91-3.19, 3 Ag 2.93-3.07
6 Cd 0.4765 0.7984 0.5513  5 Cd 2.91-3.19, 3 Ag 2.93-3.07
7 Cd 0.5235 0.2016 0.4487  5 Cd 2.91-3.19, 3 Ag 2.93-3.07
8 Cd 0.5513 0.4765 0.7984  5 Cd 2.91-3.19, 3 Ag 2.93-3.07
9 Cd 0.7192 0.7621 0.0419  1 Rh 2.79, 4 Ag 2.84-3.10, 3 Cd 2.91-3.09
10 Cd 0.7621 0.0419 0.7192  1 Rh 2.79, 4 Ag 2.84-3.10, 3 Cd 2.91-3.09
11 Cd 0.7984 0.5513 0.4765  5 Cd 2.91-3.19, 3 Ag 2.93-3.07
12 Cd 0.9581 0.2808 0.2379  1 Rh 2.79, 4 Ag 2.84-3.10, 3 Cd 2.91-3.09
13 Ag 0.0662 0.6415 0.1758  7 Cd 2.84-3.10, 1 Rh 2.92, 2 Ag 3.06
14 Ag 0.1758 0.0662 0.6415  7 Cd 2.84-3.10, 1 Rh 2.92, 2 Ag 3.06
15 Ag 0.3585 0.8242 0.9338  7 Cd 2.84-3.10, 1 Rh 2.92, 2 Ag 3.06
16 Ag 0.6415 0.1758 0.0662  7 Cd 2.84-3.10, 1 Rh 2.92, 2 Ag 3.06
17 Ag 0.8242 0.9338 0.3585  7 Cd 2.84-3.10, 1 Rh 2.92, 2 Ag 3.06
18 Ag 0.9338 0.3585 0.8242  7 Cd 2.84-3.10, 1 Rh 2.92, 2 Ag 3.06
19 Rh 0.0000 0.0000 0.0000  6 Cd 2.79, 6 Ag 2.92

Results
electronic total energy	-1.869	eV per atom
energy relative to the elements	0.00	eV per atom
space group	R-3 (148)
crystal system	trigonal

***

[2]
Density functional theory data (PBE) for an optimized crystal structure of Cd7Ag12Rh.

a = 7.7558 Å, b = 7.7558 Å, c = 7.7558 Å
α = 107.02°, β = 107.02°, γ = 107.02°
With the nearest neighbours (Å) after each atom.
Fractional positions:
1 Cd 0.0000 0.0000 0.0000  6 Ag 2.84
2 Cd 0.1776 0.4762 0.5951  1 Rh 2.78, 7 Ag 2.83-3.05, 3 Cd 2.90-3.05
3 Cd 0.4049 0.8224 0.5238  1 Rh 2.78, 7 Ag 2.83-3.05, 3 Cd 2.90-3.05
4 Cd 0.4762 0.5951 0.1776  1 Rh 2.78, 7 Ag 2.83-3.05, 3 Cd 2.90-3.05
5 Cd 0.5238 0.4049 0.8224  1 Rh 2.78, 7 Ag 2.83-3.05, 3 Cd 2.90-3.05
6 Cd 0.5951 0.1776 0.4762  1 Rh 2.78, 7 Ag 2.83-3.05, 3 Cd 2.90-3.05
7 Cd 0.8224 0.5238 0.4049  1 Rh 2.78, 7 Ag 2.83-3.05, 3 Cd 2.90-3.05
8 Ag 0.0888 0.4623 0.1939  5 Ag 2.83-3.08, 4 Cd 2.91-3.05
9 Ag 0.1280 0.2664 0.8328  7 Ag 2.83-3.08, 4 Cd 2.83-2.97
10 Ag 0.1672 0.8720 0.7336  7 Ag 2.83-3.08, 4 Cd 2.83-2.97
11 Ag 0.1939 0.0888 0.4623  5 Ag 2.83-3.08, 4 Cd 2.91-3.05
12 Ag 0.2664 0.8328 0.1280  7 Ag 2.83-3.08, 4 Cd 2.83-2.97
13 Ag 0.4623 0.1939 0.0888  5 Ag 2.83-3.08, 4 Cd 2.91-3.05
14 Ag 0.5377 0.8061 0.9112  5 Ag 2.83-3.08, 4 Cd 2.91-3.05
15 Ag 0.7336 0.1672 0.8720  7 Ag 2.83-3.08, 4 Cd 2.83-2.97
16 Ag 0.8061 0.9112 0.5377  5 Ag 2.83-3.08, 4 Cd 2.91-3.05
17 Ag 0.8328 0.1280 0.2664  7 Ag 2.83-3.08, 4 Cd 2.83-2.97
18 Ag 0.8720 0.7336 0.1672  7 Ag 2.83-3.08, 4 Cd 2.83-2.97
19 Ag 0.9112 0.5377 0.8061  5 Ag 2.83-3.08, 4 Cd 2.91-3.05
20 Rh 0.5000 0.5000 0.5000  6 Cd 2.78

Results
electronic total energy	-2.358	eV per atom
energy relative to the elements	0.04	eV per atom
space group	R-3 (148)
crystal system	trigonal

***

[3]
Density functional theory data (PBE) for an optimized crystal structure of Cd8AgRh2.

a = 7.8109 Å, b = 7.8109 Å, c = 7.8109 Å
α = 147.10°, β = 121.43°, γ = 68.83°
With the nearest neighbours (Å) after each atom.
Fractional positions:
1 Cd 0.1317 0.3439 0.7878  3 Rh 2.81-2.85, 1 Ag 2.98, 5 Cd 3.00-3.12
2 Cd 0.1483 0.1483 0.0000  2 Ag 2.92, 2 Rh 2.93, 8 Cd 3.00-3.12
3 Cd 0.3161 0.0000 0.3161  7 Cd 2.81-3.08, 2 Rh 2.97
4 Cd 0.4439 0.6561 0.7878  3 Rh 2.81-2.85, 1 Ag 2.98, 5 Cd 3.00-3.12
5 Cd 0.5561 0.3439 0.2122  3 Rh 2.81-2.85, 1 Ag 2.98, 5 Cd 3.00-3.12
6 Cd 0.6839 0.0000 0.6839  7 Cd 2.81-3.08, 2 Rh 2.97
7 Cd 0.8517 0.8517 0.0000  2 Ag 2.92, 2 Rh 2.93, 8 Cd 3.00-3.12
8 Cd 0.8683 0.6561 0.2122  3 Rh 2.81-2.85, 1 Ag 2.98, 5 Cd 3.00-3.12
9 Ag 0.0000 0.5000 0.5000  8 Cd 2.92-2.98
10 Rh 0.2972 0.7972 0.5000  10 Cd 2.81-2.97
11 Rh 0.7028 0.2028 0.5000  10 Cd 2.81-2.97

Results
electronic total energy	-2.333	eV per atom
energy relative to the elements	-0.07	eV per atom
space group	Immm (71)
crystal system	orthorhombic
energy above the most stable polymorph in this dataset	0.000	eV per atom

***

Number 1: volume 21.29 A^3/atom, density of states at the Fermi level 9.03 states/eV/f.u.. Number 2: volume 19.41 A^3/atom, density of states at the Fermi level 7.08 states/eV/f.u.. Number 3: volume 19.80 A^3/atom, density of states at the Fermi level 5.06 states/eV/f.u..